An optimized crystal structure of Na2BeNiF6. Source: Alexandria, functional PBE+U.

It has space group P-1 (No. 2), with a = 5.2556 Å, b = 5.2677 Å, c = 5.2904 Å, α = 119.81°, β = 90.36° and γ = 119.44°. The asymmetric unit holds Na at (0.2491, 0.4896, 0.2369), Be at (0.5000, 0.0000, 0.0000), Ni at (0.0000, 0.0000, 0.5000), F at (0.2217, 0.9991, 0.1899), F at (0.2702, 0.9241, 0.6867) and F at (0.3023, 0.5301, 0.8079).

The value obtained for the volume is 10.44 A^3/atom. The value obtained for the total energy is -4.6683 eV per atom.